# La2CdAg2, relaxed, DFT GGA-PBEsol
data_La2CdAg2
_cell_length_a 3.7920
_cell_length_b 3.7920
_cell_length_c 18.4063
_cell_angle_alpha 90.00
_cell_angle_beta 90.00
_cell_angle_gamma 90.00
_symmetry_space_group_name_H-M 'I 4/m m m'
_symmetry_Int_Tables_number 139
_symmetry_space_group_name_Hall '-I 4 2'
loop_
_atom_site_label
_atom_site_fract_x
_atom_site_fract_y
_atom_site_fract_z
_atom_site_occupancy
La1 0.0000 0.0000 0.1095 1
Cd1 0.0000 0.0000 0.5000 1
Ag1 0.0000 0.5000 0.2500 1
# E_form = -0.11 eV per atom
# Total magnetization = 0.0 μB/f.u.